[1]
Entry from OQMD: a geometry-optimized ScTcBi2 structure (PBE-GGA).

```
data_ScTcBi2
_chemical_formula_sum 'Sc1 Tc1 Bi2'
_cell_length_a 5.018
_cell_length_b 5.018
_cell_length_c 5.018
_cell_angle_alpha 60.00
_cell_angle_beta 60.00
_cell_angle_gamma 60.00
_space_group_name_H-M_alt 'P 1'
_space_group_IT_number 1
loop_
_space_group_symop_operation_xyz
'x,y,z'
loop_
_atom_site_label
_atom_site_fract_x
_atom_site_fract_y
_atom_site_fract_z
Bi1 0.000 0.000 0.000
Bi2 0.750 0.750 0.750
Sc1 0.250 0.250 0.250
Tc1 0.500 0.500 0.500
```

Computed properties:
Space group: F-43m, No. 216
Total magnetic moment: 0.000 μB per atom


[2]
Entry from OQMD: a geometry-optimized ScTc2Bi structure (PBE-GGA).

```
data_ScTc2Bi
_chemical_formula_sum 'Sc1 Tc2 Bi1'
_cell_length_a 4.692
_cell_length_b 4.692
_cell_length_c 4.692
_cell_angle_alpha 60.00
_cell_angle_beta 60.00
_cell_angle_gamma 60.00
_space_group_name_H-M_alt 'P 1'
_space_group_IT_number 1
loop_
_space_group_symop_operation_xyz
'x,y,z'
loop_
_atom_site_label
_atom_site_fract_x
_atom_site_fract_y
_atom_site_fract_z
Bi1 0.500 0.500 0.500
Sc1 0.250 0.250 0.250
Tc1 0.000 0.000 0.000
Tc2 0.750 0.750 0.750
```

Computed properties:
Space group: F-43m, No. 216
Total magnetic moment: 0.418 μB per atom


[3]
Entry from OQMD: a geometry-optimized ScTcBi2 structure (PBE-GGA).

```
data_ScTcBi2
_chemical_formula_sum 'Sc1 Tc1 Bi2'
_cell_length_a 5.016
_cell_length_b 5.016
_cell_length_c 5.016
_cell_angle_alpha 60.00
_cell_angle_beta 60.00
_cell_angle_gamma 60.00
_space_group_name_H-M_alt 'P 1'
_space_group_IT_number 1
loop_
_space_group_symop_operation_xyz
'x,y,z'
loop_
_atom_site_label
_atom_site_fract_x
_atom_site_fract_y
_atom_site_fract_z
Bi1 0.250 0.250 0.250
Bi2 0.500 0.500 0.500
Sc1 0.750 0.750 0.750
Tc1 0.000 0.000 0.000
```

Computed properties:
Space group: F-43m, No. 216
Total magnetic moment: 0.000 μB per atom


[4]
Entry from OQMD: a geometry-optimized ThScBi structure (PBE-GGA).

```
data_ThScBi
_chemical_formula_sum 'Th1 Sc1 Bi1'
_cell_length_a 5.146
_cell_length_b 5.146
_cell_length_c 5.146
_cell_angle_alpha 60.00
_cell_angle_beta 60.00
_cell_angle_gamma 60.00
_space_group_name_H-M_alt 'P 1'
_space_group_IT_number 1
loop_
_space_group_symop_operation_xyz
'x,y,z'
loop_
_atom_site_label
_atom_site_fract_x
_atom_site_fract_y
_atom_site_fract_z
Bi1 0.000 0.000 0.000
Sc1 0.250 0.250 0.250
Th1 0.750 0.750 0.750
```

Computed properties:
Space group: F-43m, No. 216
Total magnetic moment: 0.038 μB per atom


[5]
Entry from OQMD: a geometry-optimized TmSc2Bi structure (PBE-GGA).

```
data_TmSc2Bi
_chemical_formula_sum 'Tm2 Sc4 Bi2'
_cell_length_a 10.934
_cell_length_b 10.934
_cell_length_c 4.412
_cell_angle_alpha 90.00
_cell_angle_beta 90.00
_cell_angle_gamma 156.67
_space_group_name_H-M_alt 'P 1'
_space_group_IT_number 1
loop_
_space_group_symop_operation_xyz
'x,y,z'
loop_
_atom_site_label
_atom_site_fract_x
_atom_site_fract_y
_atom_site_fract_z
Bi1 0.337 0.663 0.250
Bi2 0.663 0.337 0.750
Sc1 0.945 0.055 0.250
Sc2 0.557 0.443 0.250
Sc3 0.443 0.557 0.750
Sc4 0.055 0.945 0.750
Tm1 0.190 0.810 0.250
Tm2 0.810 0.190 0.750
```

Computed properties:
Space group: Cmcm, No. 63
Total magnetic moment: 0.041 μB per atom


[6]
Entry from OQMD: a geometry-optimized TmScBi structure (PBE-GGA).

```
data_TmScBi
_chemical_formula_sum 'Tm1 Sc1 Bi1'
_cell_length_a 5.009
_cell_length_b 5.009
_cell_length_c 5.009
_cell_angle_alpha 60.00
_cell_angle_beta 60.00
_cell_angle_gamma 60.00
_space_group_name_H-M_alt 'P 1'
_space_group_IT_number 1
loop_
_space_group_symop_operation_xyz
'x,y,z'
loop_
_atom_site_label
_atom_site_fract_x
_atom_site_fract_y
_atom_site_fract_z
Bi1 0.000 0.000 0.000
Sc1 0.250 0.250 0.250
Tm1 0.750 0.750 0.750
```

Computed properties:
Space group: F-43m, No. 216
Total magnetic moment: 0.507 μB per atom


[7]
Entry from OQMD: a geometry-optimized TmScBi structure (PBE-GGA).

```
data_TmScBi
_chemical_formula_sum 'Tm1 Sc1 Bi1'
_cell_length_a 5.188
_cell_length_b 5.188
_cell_length_c 5.188
_cell_angle_alpha 60.00
_cell_angle_beta 60.00
_cell_angle_gamma 60.00
_space_group_name_H-M_alt 'P 1'
_space_group_IT_number 1
loop_
_space_group_symop_operation_xyz
'x,y,z'
loop_
_atom_site_label
_atom_site_fract_x
_atom_site_fract_y
_atom_site_fract_z
Bi1 0.250 0.250 0.250
Sc1 0.750 0.750 0.750
Tm1 0.000 0.000 0.000
```

Computed properties:
Space group: F-43m, No. 216
Total magnetic moment: 0.437 μB per atom


[8]
Entry from OQMD: a geometry-optimized Sc2BiW structure (PBE-GGA).

```
data_Sc2BiW
_chemical_formula_sum 'Sc2 Bi1 W1'
_cell_length_a 4.872
_cell_length_b 4.872
_cell_length_c 4.872
_cell_angle_alpha 60.00
_cell_angle_beta 60.00
_cell_angle_gamma 60.00
_space_group_name_H-M_alt 'P 1'
_space_group_IT_number 1
loop_
_space_group_symop_operation_xyz
'x,y,z'
loop_
_atom_site_label
_atom_site_fract_x
_atom_site_fract_y
_atom_site_fract_z
Bi1 0.500 0.500 0.500
Sc1 0.000 0.000 0.000
Sc2 0.750 0.750 0.750
W1 0.250 0.250 0.250
```

Computed properties:
Space group: F-43m, No. 216
Total magnetic moment: 0.240 μB per atom


[9]
Entry from OQMD: a geometry-optimized ScBiW structure (PBE-GGA).

```
data_ScBiW
_chemical_formula_sum 'Sc1 Bi1 W1'
_cell_length_a 4.705
_cell_length_b 4.705
_cell_length_c 4.705
_cell_angle_alpha 60.00
_cell_angle_beta 60.00
_cell_angle_gamma 60.00
_space_group_name_H-M_alt 'P 1'
_space_group_IT_number 1
loop_
_space_group_symop_operation_xyz
'x,y,z'
loop_
_atom_site_label
_atom_site_fract_x
_atom_site_fract_y
_atom_site_fract_z
Bi1 0.250 0.250 0.250
Sc1 0.750 0.750 0.750
W1 0.000 0.000 0.000
```

Computed properties:
Space group: F-43m, No. 216
ΔE to the lowest computed polymorph: 0.3904 eV per atom
Total magnetic moment: 0.114 μB per atom


[10]
Entry from OQMD: a geometry-optimized ScBiW structure (PBE-GGA).

```
data_ScBiW
_chemical_formula_sum 'Sc3 Bi3 W3'
_cell_length_a 4.872
_cell_length_b 4.872
_cell_length_c 9.584
_cell_angle_alpha 90.00
_cell_angle_beta 90.00
_cell_angle_gamma 120.00
_space_group_name_H-M_alt 'P 1'
_space_group_IT_number 1
loop_
_space_group_symop_operation_xyz
'x,y,z'
loop_
_atom_site_label
_atom_site_fract_x
_atom_site_fract_y
_atom_site_fract_z
Bi1 0.000 0.000 0.301
Bi2 0.000 0.000 0.631
Bi3 0.000 0.000 0.955
Sc1 0.667 0.333 0.109
Sc2 0.333 0.667 0.536
Sc3 0.667 0.333 0.768
W1 0.333 0.667 0.248
W2 0.667 0.333 0.420
W3 0.333 0.667 0.988
```

Computed properties:
Space group: P3m1, No. 156
ΔE to the lowest computed polymorph: 0.0000 eV per atom
Total magnetic moment: 0.001 μB per atom


[11]
Entry from OQMD: a geometry-optimized ScBi2W structure (PBE-GGA).

```
data_ScBi2W
_chemical_formula_sum 'Sc1 Bi2 W1'
_cell_length_a 5.074
_cell_length_b 5.074
_cell_length_c 5.074
_cell_angle_alpha 60.00
_cell_angle_beta 60.00
_cell_angle_gamma 60.00
_space_group_name_H-M_alt 'P 1'
_space_group_IT_number 1
loop_
_space_group_symop_operation_xyz
'x,y,z'
loop_
_atom_site_label
_atom_site_fract_x
_atom_site_fract_y
_atom_site_fract_z
Bi1 0.000 0.000 0.000
Bi2 0.750 0.750 0.750
Sc1 0.250 0.250 0.250
W1 0.500 0.500 0.500
```

Computed properties:
Space group: F-43m, No. 216
Total magnetic moment: 0.252 μB per atom


[12]
Entry from OQMD: a geometry-optimized ScZn2Bi structure (PBE-GGA).

```
data_ScZn2Bi
_chemical_formula_sum 'Sc1 Zn2 Bi1'
_cell_length_a 4.973
_cell_length_b 4.973
_cell_length_c 4.973
_cell_angle_alpha 60.00
_cell_angle_beta 60.00
_cell_angle_gamma 60.00
_space_group_name_H-M_alt 'P 1'
_space_group_IT_number 1
loop_
_space_group_symop_operation_xyz
'x,y,z'
loop_
_atom_site_label
_atom_site_fract_x
_atom_site_fract_y
_atom_site_fract_z
Bi1 0.250 0.250 0.250
Sc1 0.000 0.000 0.000
Zn1 0.500 0.500 0.500
Zn2 0.750 0.750 0.750
```

Computed properties:
Space group: F-43m, No. 216
Total magnetic moment: 0.027 μB per atom


[13]
Entry from OQMD: a geometry-optimized ScZnBi2 structure (PBE-GGA).

```
data_ScZnBi2
_chemical_formula_sum 'Sc1 Zn1 Bi2'
_cell_length_a 5.293
_cell_length_b 5.293
_cell_length_c 5.293
_cell_angle_alpha 60.00
_cell_angle_beta 60.00
_cell_angle_gamma 60.00
_space_group_name_H-M_alt 'P 1'
_space_group_IT_number 1
loop_
_space_group_symop_operation_xyz
'x,y,z'
loop_
_atom_site_label
_atom_site_fract_x
_atom_site_fract_y
_atom_site_fract_z
Bi1 0.000 0.000 0.000
Bi2 0.750 0.750 0.750
Sc1 0.500 0.500 0.500
Zn1 0.250 0.250 0.250
```

Computed properties:
Space group: F-43m, No. 216
Total magnetic moment: 0.001 μB per atom


[14]
Entry from OQMD: a geometry-optimized ScZnBi2 structure (PBE-GGA).

```
data_ScZnBi2
_chemical_formula_sum 'Sc1 Zn1 Bi2'
_cell_length_a 5.292
_cell_length_b 5.292
_cell_length_c 5.292
_cell_angle_alpha 60.00
_cell_angle_beta 60.00
_cell_angle_gamma 60.00
_space_group_name_H-M_alt 'P 1'
_space_group_IT_number 1
loop_
_space_group_symop_operation_xyz
'x,y,z'
loop_
_atom_site_label
_atom_site_fract_x
_atom_site_fract_y
_atom_site_fract_z
Bi1 0.000 0.000 0.000
Bi2 0.750 0.750 0.750
Sc1 0.250 0.250 0.250
Zn1 0.500 0.500 0.500
```

Computed properties:
Space group: F-43m, No. 216
Total magnetic moment: 0.001 μB per atom


[15]
Entry from OQMD: a geometry-optimized ZrScBi2 structure (PBE-GGA).

```
data_ZrScBi2
_chemical_formula_sum 'Zr1 Sc1 Bi2'
_cell_length_a 5.277
_cell_length_b 5.277
_cell_length_c 5.277
_cell_angle_alpha 60.00
_cell_angle_beta 60.00
_cell_angle_gamma 60.00
_space_group_name_H-M_alt 'P 1'
_space_group_IT_number 1
loop_
_space_group_symop_operation_xyz
'x,y,z'
loop_
_atom_site_label
_atom_site_fract_x
_atom_site_fract_y
_atom_site_fract_z
Bi1 0.000 0.000 0.000
Bi2 0.250 0.250 0.250
Sc1 0.500 0.500 0.500
Zr1 0.750 0.750 0.750
```

Computed properties:
Space group: F-43m, No. 216
Total magnetic moment: 0.300 μB per atom


[16]
Entry from OQMD: a geometry-optimized Zr2ScBi2 structure (PBE-GGA).

```
data_Zr2ScBi2
_chemical_formula_sum 'Zr2 Sc1 Bi2'
_cell_length_a 7.472
_cell_length_b 7.472
_cell_length_c 7.472
_cell_angle_alpha 145.95
_cell_angle_beta 145.95
_cell_angle_gamma 48.93
_space_group_name_H-M_alt 'P 1'
_space_group_IT_number 1
loop_
_space_group_symop_operation_xyz
'x,y,z'
loop_
_atom_site_label
_atom_site_fract_x
_atom_site_fract_y
_atom_site_fract_z
Bi1 0.394 0.394 0.000
Bi2 0.606 0.606 0.000
Sc1 0.000 0.000 0.000
Zr1 0.750 0.250 0.500
Zr2 0.250 0.750 0.500
```

Computed properties:
Space group: I4/mmm, No. 139
Total magnetic moment: 0.002 μB per atom


[17]
Entry from OQMD: a geometry-optimized Zr2ScBi structure (PBE-GGA).

```
data_Zr2ScBi
_chemical_formula_sum 'Zr2 Sc1 Bi1'
_cell_length_a 5.065
_cell_length_b 5.065
_cell_length_c 5.065
_cell_angle_alpha 60.00
_cell_angle_beta 60.00
_cell_angle_gamma 60.00
_space_group_name_H-M_alt 'P 1'
_space_group_IT_number 1
loop_
_space_group_symop_operation_xyz
'x,y,z'
loop_
_atom_site_label
_atom_site_fract_x
_atom_site_fract_y
_atom_site_fract_z
Bi1 0.500 0.500 0.500
Sc1 0.250 0.250 0.250
Zr1 0.000 0.000 0.000
Zr2 0.750 0.750 0.750
```

Computed properties:
Space group: F-43m, No. 216
Total magnetic moment: 0.228 μB per atom


[18]
Entry from OQMD: a geometry-optimized ThBi6Se2 structure (PBE-GGA).

```
data_ThBi6Se2
_chemical_formula_sum 'Th1 Bi6 Se2'
_cell_length_a 7.601
_cell_length_b 7.601
_cell_length_c 7.601
_cell_angle_alpha 60.00
_cell_angle_beta 60.00
_cell_angle_gamma 60.00
_space_group_name_H-M_alt 'P 1'
_space_group_IT_number 1
loop_
_space_group_symop_operation_xyz
'x,y,z'
loop_
_atom_site_label
_atom_site_fract_x
_atom_site_fract_y
_atom_site_fract_z
Bi1 0.710 0.710 0.290
Bi2 0.710 0.290 0.290
Bi3 0.290 0.710 0.290
Bi4 0.710 0.290 0.710
Bi5 0.290 0.710 0.710
Bi6 0.290 0.290 0.710
Se1 0.250 0.250 0.250
Se2 0.750 0.750 0.750
Th1 0.000 0.000 0.000
```

Computed properties:
Space group: Fm-3m, No. 225
Total magnetic moment: 0.005 μB per atom


[19]
Entry from OQMD: a geometry-optimized TmZnBiSe3 structure (PBE-GGA).

```
data_TmZnBiSe3
_chemical_formula_sum 'Tm2 Zn2 Bi2 Se6'
_cell_length_a 7.694
_cell_length_b 7.694
_cell_length_c 10.997
_cell_angle_alpha 90.00
_cell_angle_beta 90.00
_cell_angle_gamma 149.80
_space_group_name_H-M_alt 'P 1'
_space_group_IT_number 1
loop_
_space_group_symop_operation_xyz
'x,y,z'
loop_
_atom_site_label
_atom_site_fract_x
_atom_site_fract_y
_atom_site_fract_z
Bi1 0.214 0.786 0.250
Bi2 0.786 0.214 0.750
Se1 0.134 0.866 0.017
Se2 0.467 0.533 0.250
Se3 0.134 0.866 0.483
Se4 0.866 0.134 0.517
Se5 0.533 0.467 0.750
Se6 0.866 0.134 0.983
Tm1 0.500 0.500 0.000
Tm2 0.500 0.500 0.500
Zn1 0.862 0.138 0.250
Zn2 0.138 0.862 0.750
```

Computed properties:
Space group: Cmcm, No. 63
Total magnetic moment: 0.002 μB per atom


[20]
Entry from OQMD: a geometry-optimized ZnBiSe structure (PBE-GGA).

```
data_ZnBiSe
_chemical_formula_sum 'Zn2 Bi2 Se2'
_cell_length_a 10.805
_cell_length_b 10.805
_cell_length_c 10.805
_cell_angle_alpha 158.13
_cell_angle_beta 158.13
_cell_angle_gamma 31.12
_space_group_name_H-M_alt 'P 1'
_space_group_IT_number 1
loop_
_space_group_symop_operation_xyz
'x,y,z'
loop_
_atom_site_label
_atom_site_fract_x
_atom_site_fract_y
_atom_site_fract_z
Bi1 0.365 0.365 0.000
Bi2 0.635 0.635 0.000
Se1 0.174 0.174 0.000
Se2 0.826 0.826 0.000
Zn1 0.056 0.056 0.000
Zn2 0.944 0.944 0.000
```

Computed properties:
Space group: I4/mmm, No. 139


Uncorrected energy
In order: -5.900, -7.475, -5.900, -5.918, -5.732, -5.149, -4.691, -7.118, -7.001, -7.391, -6.194, -3.215, -3.885, -3.886, -5.662, -6.381, -6.948, -3.840, -4.215, -2.870
Unit: eV/atom